(1)
Below is a relaxed DyZrS crystal, with properties calculated at the PBE level.

Summary:
For the calculated volume, the calculation gives 22.94 Å³/atom. Its total energy is -20.53 eV/f.u. Its crystal system is trigonal.

a = 3.6848 Å, b = 3.6848 Å, c = 17.5550 Å
α = 90.00°, β = 90.00°, γ = 120.00°
Space group R3m (No. 160, hexagonal axes)
One atom of each set of equivalent atoms:
Dy 0.0000 0.0000 0.0000
Zr 0.0000 0.0000 0.5071
S 0.0000 0.0000 0.7605

=====

(2)
Below is a relaxed Hf2USn crystal, with properties calculated at the PBE level.

Summary:
For the formation energy from the elements, the calculation gives 0.33 eV per formula unit. For the calculated volume, the calculation gives 22.96 Å³/atom. Its crystal system is trigonal.

a = 3.2186 Å, b = 3.2186 Å, c = 30.7098 Å
α = 90.00°, β = 90.00°, γ = 120.00°
Space group R-3m (No. 166, hexagonal axes)
One atom of each set of equivalent atoms:
Hf 0.0000 0.0000 0.2486
U 0.0000 0.0000 0.0000
Sn 0.0000 0.0000 0.5000

=====

(3)
Below is a relaxed Y2AlCo crystal, with properties calculated at the PBE level.

Summary:
For the formation energy from the elements, the calculation gives -0.67 eV per formula unit. For the calculated volume, the calculation gives 21.52 Å³/atom. Its crystal system is tetragonal.

a = 3.220 Å, b = 3.220 Å, c = 8.305 Å
α = 90.00°, β = 90.00°, γ = 90.00°
Space group P4mm (No. 99)
One atom of each set of equivalent atoms:
Y 0.000 0.000 0.000
Y 0.500 0.500 0.376
Al 0.000 0.000 0.639
Co 0.500 0.500 0.782

=====

(4)
Below is a relaxed Fe2CoIr crystal, with properties calculated at the PBE level.

Summary:
For the formation energy from the elements, the calculation gives 0.17 eV per formula unit. For the calculated volume, the calculation gives 12.27 Å³/atom. Its crystal system is monoclinic.

a = 8.516 Å, b = 2.628 Å, c = 4.465 Å
α = 90.00°, β = 100.93°, γ = 90.00°
Space group C2/m (No. 12)
One atom of each set of equivalent atoms:
Fe 0.248 0.000 0.242
Co 0.000 0.500 0.000
Ir 0.000 0.000 0.500

=====

(5)
Below is a relaxed RuPt2Se crystal, with properties calculated at the PBE level.

Summary:
For the calculated volume, the calculation gives 15.83 Å³/atom. Its total energy is -23.50 eV/f.u. Its crystal system is tetragonal.

a = 4.223 Å, b = 4.223 Å, c = 7.099 Å
α = 90.00°, β = 90.00°, γ = 90.00°
Space group I-4m2 (No. 119)
One atom of each set of equivalent atoms:
Ru 0.000 0.000 0.000
Pt 0.000 0.000 0.500
Pt 0.000 0.500 0.250
Se 0.000 0.500 0.750

=====

(6)
Below is a relaxed GdCd2Pb crystal, with properties calculated at the PBE level.

Summary:
For the formation energy from the elements, the calculation gives -1.36 eV per formula unit. For the calculated volume, the calculation gives 25.60 Å³/atom. Its crystal system is tetragonal.

a = 4.554 Å, b = 4.554 Å, c = 4.938 Å
α = 90.00°, β = 90.00°, γ = 90.00°
Space group P4/mmm (No. 123)
One atom of each set of equivalent atoms:
Gd 0.000 0.000 0.000
Cd 0.000 0.500 0.500
Pb 0.500 0.500 0.000

=====

(7)
Below is a relaxed CuNi2Mo crystal, with properties calculated at the PBE level.

Summary:
For the formation energy from the elements, the calculation gives 0.42 eV per formula unit. For the calculated volume, the calculation gives 12.38 Å³/atom. Its crystal system is cubic.

a = 5.829 Å, b = 5.829 Å, c = 5.829 Å
α = 90.00°, β = 90.00°, γ = 90.00°
Space group Fm-3m (No. 225)
One atom of each set of equivalent atoms:
Cu 0.000 0.000 0.000
Ni 0.250 0.250 0.250
Mo 0.000 0.000 0.500

=====

(8)
Below is a relaxed GaPd6Pt crystal, with properties calculated at the PBE level.

Summary:
For the formation energy from the elements, the calculation gives -0.84 eV per formula unit. For the calculated volume, the calculation gives 15.81 Å³/atom. Its crystal system is monoclinic.

a = 6.316 Å, b = 9.038 Å, c = 5.365 Å
α = 90.00°, β = 124.32°, γ = 90.00°
Space group C2/m (No. 12)
One atom of each set of equivalent atoms:
Ga 0.000 0.000 0.000
Pd 0.012 0.500 0.760
Pd 0.244 0.244 0.248
Pt 0.000 0.000 0.500